This record from Alexandria describes CaGaP2Cl after structural relaxation. The functional is PBE. Values from VASP.

Cell and atoms, written as Quantum ESPRESSO input:
```
&SYSTEM
  ibrav = 0, nat = 5, ntyp = 4
/
ATOMIC_SPECIES
P 30.97 P.upf
Ca 40.08 Ca.upf
Ga 69.72 Ga.upf
Cl 35.45 Cl.upf
CELL_PARAMETERS angstrom
-2.5064 -3.8436 -0.6084
2.2609 -2.0273 3.4933
-3.7228 1.8741 3.4971
ATOMIC_POSITIONS angstrom
P 1.1305 -1.0136 1.7467
P -1.2532 -1.9218 -0.3042
Ca -1.9841 -1.9983 3.1910
Ga 0.0000 0.0000 0.0000
Cl -1.8614 0.9371 1.7485
```

Results
The value obtained for the uncorrected formation energy is -0.294 eV/atom. Its density of states at the Fermi level is 1.61 states/eV/f.u. For the calculated total energy, the calculation gives -0.141 Ha/atom.